i | Nb2HIrW: optimized geometry, GGA-PBE.

```
data_Nb2HIrW
_chemical_formula_sum 'Nb2 H1 Ir1 W1'
_cell_length_a 4.416
_cell_length_b 4.416
_cell_length_c 3.576
_cell_angle_alpha 90.00
_cell_angle_beta 90.00
_cell_angle_gamma 90.00
_symmetry_space_group_name_H-M 'P 4/m m m'
_symmetry_Int_Tables_number 123
_symmetry_space_group_name_Hall '-P 4 2'
loop_
_atom_site_label
_atom_site_type_symbol
_atom_site_fract_x
_atom_site_fract_y
_atom_site_fract_z
Nb1 Nb 0.000 0.500 0.000
H1 H 0.000 0.000 0.000
Ir1 Ir 0.000 0.000 0.500
W1 W 0.500 0.500 0.500
```

Results
magnetic moment: 0.00 Bohr magnetons per cell

=====

ii | Nb2HIrW: optimized geometry, GGA-PBE.

```
data_Nb2HIrW
_chemical_formula_sum 'Nb2 H1 Ir1 W1'
_cell_length_a 4.228
_cell_length_b 4.228
_cell_length_c 3.870
_cell_angle_alpha 90.00
_cell_angle_beta 90.00
_cell_angle_gamma 90.00
_symmetry_space_group_name_H-M 'P 4/m m m'
_symmetry_Int_Tables_number 123
_symmetry_space_group_name_Hall '-P 4 2'
loop_
_atom_site_label
_atom_site_type_symbol
_atom_site_fract_x
_atom_site_fract_y
_atom_site_fract_z
Nb1 Nb 0.000 0.500 0.000
H1 H 0.000 0.000 0.000
Ir1 Ir 0.500 0.500 0.500
W1 W 0.000 0.000 0.500
```

Results
magnetic moment: 0.00 Bohr magnetons per cell

=====

i has the most favorable energy; the next structure is 24 meV/atom above.

=====

i | Nb2ZnHIr: optimized geometry, GGA-PBE.

```
data_Nb2ZnHIr
_chemical_formula_sum 'Nb2 Zn1 H1 Ir1'
_cell_length_a 4.044
_cell_length_b 4.044
_cell_length_c 4.097
_cell_angle_alpha 90.00
_cell_angle_beta 90.00
_cell_angle_gamma 90.00
_symmetry_space_group_name_H-M 'P 4/m m m'
_symmetry_Int_Tables_number 123
_symmetry_space_group_name_Hall '-P 4 2'
loop_
_atom_site_label
_atom_site_type_symbol
_atom_site_fract_x
_atom_site_fract_y
_atom_site_fract_z
Nb1 Nb 0.000 0.500 0.000
Zn1 Zn 0.000 0.000 0.500
H1 H 0.000 0.000 0.000
Ir1 Ir 0.500 0.500 0.500
```

Results
magnetic moment: 0.00 Bohr magnetons per cell

=====

ii | Nb2ZnHIr: optimized geometry, GGA-PBE.

```
data_Nb2ZnHIr
_chemical_formula_sum 'Nb2 Zn1 H1 Ir1'
_cell_length_a 4.121
_cell_length_b 4.121
_cell_length_c 3.967
_cell_angle_alpha 90.00
_cell_angle_beta 90.00
_cell_angle_gamma 90.00
_symmetry_space_group_name_H-M 'P 4/m m m'
_symmetry_Int_Tables_number 123
_symmetry_space_group_name_Hall '-P 4 2'
loop_
_atom_site_label
_atom_site_type_symbol
_atom_site_fract_x
_atom_site_fract_y
_atom_site_fract_z
Nb1 Nb 0.000 0.500 0.000
Zn1 Zn 0.000 0.000 0.500
H1 H 0.500 0.500 0.000
Ir1 Ir 0.500 0.500 0.500
```

Results
magnetic moment: 0.00 Bohr magnetons per cell

=====

ii has the most favorable energy; the next structure is 32 meV/atom above.

=====

i | Zr2NbHIr: optimized geometry, GGA-PBE.

```
data_Zr2NbHIr
_chemical_formula_sum 'Zr2 Nb1 H1 Ir1'
_cell_length_a 4.711
_cell_length_b 4.711
_cell_length_c 3.551
_cell_angle_alpha 90.00
_cell_angle_beta 90.00
_cell_angle_gamma 90.00
_symmetry_space_group_name_H-M 'P 4/m m m'
_symmetry_Int_Tables_number 123
_symmetry_space_group_name_Hall '-P 4 2'
loop_
_atom_site_label
_atom_site_type_symbol
_atom_site_fract_x
_atom_site_fract_y
_atom_site_fract_z
Zr1 Zr 0.000 0.500 0.000
Nb1 Nb 0.000 0.000 0.500
H1 H 0.500 0.500 0.000
Ir1 Ir 0.500 0.500 0.500
```

Results
magnetic moment: 0.00 Bohr magnetons per cell

=====

ii | Zr2NbHIr: optimized geometry, GGA-PBE.

```
data_Zr2NbHIr
_chemical_formula_sum 'Zr2 Nb1 H1 Ir1'
_cell_length_a 4.646
_cell_length_b 4.646
_cell_length_c 3.639
_cell_angle_alpha 90.00
_cell_angle_beta 90.00
_cell_angle_gamma 90.00
_symmetry_space_group_name_H-M 'P 4/m m m'
_symmetry_Int_Tables_number 123
_symmetry_space_group_name_Hall '-P 4 2'
loop_
_atom_site_label
_atom_site_type_symbol
_atom_site_fract_x
_atom_site_fract_y
_atom_site_fract_z
Zr1 Zr 0.000 0.500 0.000
Nb1 Nb 0.000 0.000 0.500
H1 H 0.000 0.000 0.000
Ir1 Ir 0.500 0.500 0.500
```

Results
magnetic moment: 0.00 Bohr magnetons per cell

=====

ii has the most favorable energy; the next structure is 49 meV/atom above.